A plane-wave DFT calculation with PBE-GGA was carried out for an optimized crystal structure of YTe2N.

Structure (POSCAR):
```
YTe2N
1.0
1.7589 1.0155 9.1004
-1.7589 1.0155 9.1004
0.0000 -2.0310 9.1004
Y Te N
1 2 1
direct
0.0000 0.0000 0.0000 Y
0.1106 0.1106 0.1106 Te
0.8894 0.8894 0.8894 Te
0.5000 0.5000 0.5000 N
```

V (Å³ per atom): 24.4
SG: R-3m
E_form (uncorrected) (eV per atom): 0.772